Entry 1:
{
  "formula": "MgNbReGe",
  "functional": "PBE",
  "state": "optimized geometry",
  "polymorph_energy_ev_per_fu": 1.54,
  "volume_a3_per_atom": 15.99,
  "magnetic_moment_mub_per_fu": 0.49,
  "cell": [[0.000, 3.174, 3.174], [3.174, 0.000, 3.174], [3.174, 3.174, 0.000]],
  "species": ["Nb", "Mg", "Re", "Ge"],
  "fractional_positions": [[0.500, 0.500, 0.500], [0.750, 0.750, 0.750], [0.000, 0.000, 0.000], [0.250, 0.250, 0.250]]
}

=====

Entry 2:
{
  "formula": "Nd4Mg7Ge6",
  "functional": "PBE",
  "state": "optimized geometry",
  "energy_ev_per_atom": -3.95,
  "volume_a3_per_atom": 23.06,
  "magnetic_moment_mub_per_fu": 0.00,
  "cell": [[0.000, 4.433, 0.000], [8.341, -2.216, -0.019], [-1.641, -2.216, -10.600]],
  "species": ["Mg", "Nd", "Mg", "Mg", "Nd", "Mg", "Ge", "Ge", "Mg", "Mg", "Ge", "Mg", "Ge", "Nd", "Ge", "Nd", "Ge"],
  "fractional_positions": [[0.000, 0.500, 0.500], [0.880, 0.147, 0.613], [0.464, 0.774, 0.153], [0.334, 0.272, 0.397], [0.791, 0.420, 0.161], [0.666, 0.728, 0.603], [0.297, 0.906, 0.688], [0.703, 0.094, 0.312], [0.901, 0.941, 0.861], [0.536, 0.226, 0.847], [0.468, 0.589, 0.348], [0.099, 0.059, 0.139], [0.126, 0.276, 0.977], [0.120, 0.853, 0.387], [0.874, 0.724, 0.023], [0.209, 0.580, 0.839], [0.532, 0.411, 0.652]]
}

=====

Entry 3:
{
  "formula": "NdMgGe",
  "functional": "PBE",
  "state": "optimized geometry",
  "energy_ev_per_atom": -3.63,
  "volume_a3_per_atom": 28.69,
  "magnetic_moment_mub_per_fu": 0.00,
  "cell": [[0.000, 3.504, 3.504], [3.504, 0.000, 3.504], [3.504, 3.504, 0.000]],
  "species": ["Ge", "Mg", "Nd"],
  "fractional_positions": [[0.250, 0.250, 0.250], [0.750, 0.750, 0.750], [0.000, 0.000, 0.000]]
}

=====

Entry 4:
{
  "formula": "NdMgGe",
  "functional": "PBE",
  "state": "optimized geometry",
  "energy_ev_per_atom": -3.77,
  "volume_a3_per_atom": 25.06,
  "magnetic_moment_mub_per_fu": 0.01,
  "cell": [[0.000, 3.350, 3.350], [3.350, 0.000, 3.350], [3.350, 3.350, 0.000]],
  "species": ["Nd", "Mg", "Ge"],
  "fractional_positions": [[0.750, 0.750, 0.750], [0.000, 0.000, 0.000], [0.250, 0.250, 0.250]]
}

=====

Entry 5:
{
  "formula": "PrNdMg2Ge2",
  "functional": "PBE",
  "state": "optimized geometry",
  "energy_ev_per_atom": -4.30,
  "volume_a3_per_atom": 24.20,
  "magnetic_moment_mub_per_fu": 0.01,
  "cell": [[-2.153, 2.153, 7.831], [2.153, -2.153, 7.831], [2.153, 2.153, -7.831]],
  "species": ["Ge", "Mg", "Mg", "Nd", "Pr", "Ge"],
  "fractional_positions": [[0.867, 0.867, 0.000], [0.000, 0.500, 0.500], [0.500, 0.000, 0.500], [0.667, 0.667, 0.000], [0.332, 0.332, 0.000], [0.133, 0.133, 0.000]]
}

=====

Entry 6:
{
  "formula": "TbNdMg2Ge2",
  "functional": "PBE",
  "state": "optimized geometry",
  "energy_ev_per_atom": -4.28,
  "volume_a3_per_atom": 23.27,
  "magnetic_moment_mub_per_fu": 0.01,
  "cell": [[-2.124, 2.124, 7.740], [2.124, -2.124, 7.740], [2.124, 2.124, -7.740]],
  "species": ["Mg", "Ge", "Mg", "Nd", "Tb", "Ge"],
  "fractional_positions": [[0.499, 0.999, 0.500], [0.866, 0.866, 0.000], [0.999, 0.499, 0.500], [0.669, 0.669, 0.000], [0.332, 0.332, 0.000], [0.135, 0.135, 0.000]]
}